Below is a relaxed structure of Rb3Cd3Au2, with properties calculated at the GGA-PBE level.

It has space group Cmcm (No. 63), with a = 4.857 Å, b = 13.058 Å, c = 18.099 Å, α = 90.00°, β = 90.00° and γ = 90.00°. The inequivalent atoms are Rb at (0.000, 0.050, 0.105), Rb at (0.000, 0.357, 0.250), Cd at (0.000, 0.322, 0.037), Cd at (0.000, 0.347, 0.750) and Au at (0.000, 0.237, 0.613).

As for the formation energy: -203.0 meV/atom. The calculation puts the magnetization at 0.000 μB per formula unit. The calculation puts the polymorph energy (0 for the lowest one) at 0 meV per atom. The raw total energy is -1.728 eV per atom.